Entry 1:
DFT (PBE-GGA) results for a relaxed Tm5ThPb2 crystal.

Properties
As for the magnetic moment: 0.00 μB/f.u. The space group is Cmcm, No. 63. The density is 10.153 g cm⁻³. The total energy is -4.78 eV/atom. Its formation enthalpy at 0 K is -0.13 eV per atom.

Cell: 4.3196 6.4553 18.5619 Å, 90.00 90.00 109.55°
Last column: nearest neighbours and their distance in Å.
Element x y z (fractional)
Tm  0.0420  0.0840  0.1127  3 Pb 3.39-3.48, 6 Tm 3.40-3.54
Tm  0.9580  0.9160  0.6127  3 Pb 3.39-3.48, 6 Tm 3.40-3.54
Tm  0.6353  0.2707  0.5257  3 Pb 3.11-3.14, 3 Tm 3.43-3.45
Th  0.3254  0.6508  0.2500  3 Tm 3.28-3.54, 4 Pb 3.30
Tm  0.5946  0.1892  0.2500  2 Pb 3.07, 1 Th 3.28, 4 Tm 3.40
Tm  0.9580  0.9160  0.8873  3 Pb 3.39-3.48, 6 Tm 3.40-3.54
Tm  0.3647  0.7293  0.0257  3 Pb 3.11-3.14, 3 Tm 3.43-3.45
Pb  0.7565  0.5130  0.1234  6 Tm 3.07-3.39, 2 Th 3.30
Tm  0.6353  0.2707  0.9743  3 Pb 3.11-3.14, 3 Tm 3.43-3.45
Tm  0.0420  0.0840  0.3873  3 Pb 3.39-3.48, 6 Tm 3.40-3.54
Th  0.6746  0.3492  0.7500  3 Tm 3.28-3.54, 4 Pb 3.30
Tm  0.3647  0.7293  0.4743  3 Pb 3.11-3.14, 3 Tm 3.43-3.45
Pb  0.2435  0.4870  0.6234  6 Tm 3.07-3.39, 2 Th 3.30
Pb  0.2435  0.4870  0.8766  6 Tm 3.07-3.39, 2 Th 3.30
Pb  0.7565  0.5130  0.3766  6 Tm 3.07-3.39, 2 Th 3.30
Tm  0.4054  0.8108  0.7500  2 Pb 3.07, 1 Th 3.28, 4 Tm 3.40



Entry 2:
DFT (PBE-GGA) results for a relaxed TmThPb crystal.

Properties
As for the magnetic moment: 0.00 μB/f.u. The space group is P4/nmm, No. 129. The density is 10.943 g cm⁻³. The total energy is -5.47 eV/atom. Its formation enthalpy at 0 K is -0.27 eV per atom.

Cell: 4.6037 4.6037 8.7090 Å, 90.00 90.00 90.00°
Last column: nearest neighbours and their distance in Å.
Element x y z (fractional)
Th  0.0000  0.0000  0.0000  4 Th 3.26, 4 Pb 3.44
Pb  0.0000  0.5000  0.2935  5 Tm 3.12-3.29, 4 Th 3.44
Pb  0.5000  0.0000  0.7065  5 Tm 3.12-3.29, 4 Th 3.44
Tm  0.0000  0.5000  0.6515  5 Pb 3.12-3.29
Th  0.5000  0.5000  0.0000  4 Th 3.26, 4 Pb 3.44
Tm  0.5000  0.0000  0.3485  5 Pb 3.12-3.29



Entry 3:
DFT (PBE-GGA) results for a relaxed Tm4ThPb2 crystal.

Properties
As for the magnetic moment: 0.00 μB/f.u. The space group is I4/mmm, No. 139. The density is 8.722 g cm⁻³. The total energy is -4.00 eV/atom. Its formation enthalpy at 0 K is 0.67 eV per atom.

Cell: 5.5807 5.5807 8.9946 Å, 108.07 108.07 90.00°
Last column: nearest neighbours and their distance in Å.
Element x y z (fractional)
Tm  0.5000  0.0000  0.0000  2 Th 2.79
Tm  0.1875  0.1875  0.3751  1 Th 3.03, 1 Pb 3.07
Tm  0.0000  0.5000  0.0000  2 Th 2.79
Pb  0.3775  0.3775  0.7550  5 Tm 3.07-3.42
Pb  0.6225  0.6225  0.2450  5 Tm 3.07-3.42
Tm  0.8125  0.8125  0.6249  1 Th 3.03, 1 Pb 3.07
Th  0.0000  0.0000  0.0000  6 Tm 2.79-3.03



Entry 4:
DFT (PBE-GGA) results for a relaxed Tm3Th2Pb4 crystal.

Properties
As for the magnetic moment: 0.00 μB/f.u. The space group is C2/m, No. 12. The density is 10.893 g cm⁻³. The total energy is -5.11 eV/atom. Its formation enthalpy at 0 K is -0.32 eV per atom.

Cell: 7.5801 4.8353 8.2895 Å, 106.96 89.22 108.61°
Last column: nearest neighbours and their distance in Å.
Element x y z (fractional)
Tm  0.0378  0.6867  0.3361  4 Pb 3.05-3.24
Pb  0.7274  0.3803  0.0332  4 Tm 3.13-3.51, 3 Th 3.23-3.31
Pb  0.2726  0.6197  0.9668  4 Tm 3.13-3.51, 3 Th 3.23-3.31
Pb  0.7084  0.6497  0.5910  3 Tm 3.05-3.24, 1 Pb 3.21
Pb  0.2916  0.3503  0.4090  3 Tm 3.05-3.24, 1 Pb 3.21
Th  0.4082  0.0642  0.7205  7 Pb 3.23-3.51
Th  0.5918  0.9358  0.2795  7 Pb 3.23-3.51
Tm  0.0000  0.0000  0.0000  4 Pb 3.14
Tm  0.9622  0.3133  0.6639  4 Pb 3.05-3.24



Entry 5:
DFT (PBE-GGA) results for a relaxed TmThPb crystal.

Properties
As for the magnetic moment: 0.00 μB/f.u. The space group is I4mm, No. 107. The density is 9.990 g cm⁻³. The total energy is -4.82 eV/atom. Its formation enthalpy at 0 K is 0.38 eV per atom.

Cell: 3.3159 3.3159 9.4882 Å, 100.06 100.06 90.00°
Last column: nearest neighbours and their distance in Å.
Element x y z (fractional)
Tm  0.9442  0.9442  0.8884  1 Pb 3.14, 4 Tm 3.32, 1 Th 3.46
Th  0.1325  0.1325  0.2650  4 Th 3.32, 1 Tm 3.46, 4 Pb 3.49
Pb  0.7733  0.7733  0.5467  1 Tm 3.14, 4 Pb 3.32, 4 Th 3.49



Entry 6:
DFT (PBE-GGA) results for a relaxed TmThPb crystal.

Properties
As for the magnetic moment: 0.00 μB/f.u. The space group is P3m1, No. 156. The density is 11.041 g cm⁻³. The total energy is -5.25 eV/atom. Its formation enthalpy at 0 K is -0.05 eV per atom.

Cell: 3.5999 5.4167 5.4167 Å, 120.00 90.00 90.00°
Last column: nearest neighbours and their distance in Å.
Element x y z (fractional)
Pb  0.0596  0.0000  0.0000  3 Tm 3.19, 3 Th 3.37
Th  0.7087  0.3333  0.6667  3 Pb 3.37, 6 Tm 3.57-3.65, 2 Th 3.60
Tm  0.2316  0.6667  0.3333  3 Pb 3.19, 3 Th 3.57



Entry 7:
DFT (PBE-GGA) results for a relaxed TmTh2Pb3 crystal.

Properties
As for the magnetic moment: 0.00 μB/f.u. The space group is C2/c, No. 15. The density is 11.416 g cm⁻³. The calculation puts the energy above the most stable polymorph in this dataset at 0.107 eV/atom. The total energy is -5.27 eV/atom. Its formation enthalpy at 0 K is -0.20 eV per atom.

Cell: 8.7948 6.5577 6.5577 Å, 91.86 79.57 79.57°
Last column: nearest neighbours and their distance in Å.
Element x y z (fractional)
Th  0.6263  0.1725  0.5935  6 Pb 3.35-3.73, 1 Th 3.42, 1 Tm 3.61
Pb  0.0119  0.8646  0.7020  2 Tm 3.00-3.23, 1 Pb 3.25
Pb  0.2500  0.3931  0.6069  1 Tm 3.01, 2 Th 3.35
Pb  0.9881  0.1354  0.2980  2 Tm 3.00-3.23, 1 Pb 3.25
Tm  0.7500  0.9260  0.0740  5 Pb 3.00-3.23
Th  0.1263  0.5935  0.1725  6 Pb 3.35-3.73, 1 Th 3.42, 1 Tm 3.61
Pb  0.4881  0.2980  0.1354  2 Tm 3.00-3.23, 1 Pb 3.25
Th  0.8737  0.4065  0.8275  6 Pb 3.35-3.73, 1 Th 3.42, 1 Tm 3.61
Th  0.3737  0.8275  0.4065  6 Pb 3.35-3.73, 1 Th 3.42, 1 Tm 3.61
Pb  0.7500  0.6069  0.3931  1 Tm 3.01, 2 Th 3.35
Tm  0.2500  0.0740  0.9260  5 Pb 3.00-3.23
Pb  0.5119  0.7020  0.8646  2 Tm 3.00-3.23, 1 Pb 3.25



Entry 8:
DFT (PBE-GGA) results for a relaxed TmThPb crystal.

Properties
As for the magnetic moment: 0.00 μB/f.u. The space group is Pnma, No. 62. The density is 11.041 g cm⁻³. The total energy is -5.49 eV/atom. Its formation enthalpy at 0 K is -0.29 eV per atom.

Cell: 4.4779 9.9272 8.2303 Å, 90.00 90.00 90.00°
Last column: nearest neighbours and their distance in Å.
Element x y z (fractional)
Th  0.2500  0.3388  0.5381  5 Pb 3.32-3.51, 2 Tm 3.62
Th  0.7500  0.8388  0.9619  5 Pb 3.32-3.51, 2 Tm 3.62
Pb  0.2500  0.8581  0.2580  4 Tm 3.10-3.22, 4 Th 3.32-3.41
Pb  0.7500  0.3581  0.2420  4 Tm 3.10-3.22, 4 Th 3.32-3.41
Pb  0.7500  0.1419  0.7420  4 Tm 3.10-3.22, 4 Th 3.32-3.41
Tm  0.7500  0.0625  0.3628  4 Pb 3.10-3.22, 2 Tm 3.41
Tm  0.2500  0.9375  0.6372  4 Pb 3.10-3.22, 2 Tm 3.41
Tm  0.2500  0.5625  0.1372  4 Pb 3.10-3.22, 2 Tm 3.41
Tm  0.7500  0.4375  0.8628  4 Pb 3.10-3.22, 2 Tm 3.41
Th  0.7500  0.6612  0.4619  5 Pb 3.32-3.51, 2 Tm 3.62
Th  0.2500  0.1612  0.0381  5 Pb 3.32-3.51, 2 Tm 3.62
Pb  0.2500  0.6419  0.7580  4 Tm 3.10-3.22, 4 Th 3.32-3.41